[1]
A relaxed structure of LiHg3OsS4. Source: OQMD, functional GGA-PBE.

**Total energy**: -0.11450 Ha/atom
**Theoretical density**: 7.1 g cm⁻³
**Space group**: P-43m, No. 215

Cell lengths 6.011, 6.011, 6.011 Å; angles 90.00, 90.00, 90.00 degrees
Positions (direct):
Li  0.000  0.000  0.000
Hg  0.000  0.500  0.500
Hg  0.500  0.000  0.500
Hg  0.500  0.500  0.000
Os  0.500  0.500  0.500
S  0.245  0.245  0.245
S  0.245  0.755  0.755
S  0.755  0.245  0.755
S  0.755  0.755  0.245

***

[2]
A relaxed structure of LiHg3OsSe4. Source: OQMD, functional GGA-PBE.

**Total energy**: -0.10568 Ha/atom
**Theoretical density**: 7.6 g cm⁻³
**Space group**: P-43m, No. 215

Cell lengths 6.250, 6.250, 6.250 Å; angles 90.00, 90.00, 90.00 degrees
Positions (direct):
Li  0.000  0.000  0.000
Hg  0.000  0.500  0.500
Hg  0.500  0.000  0.500
Hg  0.500  0.500  0.000
Os  0.500  0.500  0.500
Se  0.245  0.245  0.245
Se  0.245  0.755  0.755
Se  0.755  0.245  0.755
Se  0.755  0.755  0.245

***

[3]
A relaxed structure of LiTcHgOs. Source: OQMD, functional GGA-PBE.

**Total energy**: -0.18436 Ha/atom
**Distance to the lowest polymorph of the same formula**: 544 meV/atom
**Theoretical density**: 13.4 g cm⁻³
**Space group**: F-43m, No. 216

Cell lengths 6.258, 6.258, 6.258 Å; angles 90.00, 90.00, 90.00 degrees
Positions (direct):
Li  0.000  0.000  0.000
Li  0.000  0.500  0.500
Li  0.500  0.000  0.500
Li  0.500  0.500  0.000
Tc  0.250  0.250  0.250
Tc  0.250  0.750  0.750
Tc  0.750  0.250  0.750
Tc  0.750  0.750  0.250
Hg  0.000  0.000  0.500
Hg  0.000  0.500  0.000
Hg  0.500  0.000  0.000
Hg  0.500  0.500  0.500
Os  0.250  0.250  0.750
Os  0.250  0.750  0.250
Os  0.750  0.250  0.250
Os  0.750  0.750  0.750

***

[4]
A relaxed structure of LiTcHgOs. Source: OQMD, functional GGA-PBE.

**Total energy**: -0.20435 Ha/atom
**Distance to the lowest polymorph of the same formula**: 0 meV/atom
**Theoretical density**: 13.5 g cm⁻³
**Space group**: F-43m, No. 216

Cell lengths 6.248, 6.248, 6.248 Å; angles 90.00, 90.00, 90.00 degrees
Positions (direct):
Li  0.000  0.000  0.000
Li  0.000  0.500  0.500
Li  0.500  0.000  0.500
Li  0.500  0.500  0.000
Tc  0.250  0.250  0.250
Tc  0.250  0.750  0.750
Tc  0.750  0.250  0.750
Tc  0.750  0.750  0.250
Hg  0.250  0.250  0.750
Hg  0.250  0.750  0.250
Hg  0.750  0.250  0.250
Hg  0.750  0.750  0.750
Os  0.000  0.000  0.500
Os  0.000  0.500  0.000
Os  0.500  0.000  0.000
Os  0.500  0.500  0.500

***

[5]
A relaxed structure of LiHg3Te4Os. Source: OQMD, functional GGA-PBE.

**Total energy**: -0.09799 Ha/atom
**Theoretical density**: 7.1 g cm⁻³
**Space group**: P-43m, No. 215

Cell lengths 6.743, 6.743, 6.743 Å; angles 90.00, 90.00, 90.00 degrees
Positions (direct):
Li  0.000  0.000  0.000
Hg  0.000  0.500  0.500
Hg  0.500  0.000  0.500
Hg  0.500  0.500  0.000
Te  0.260  0.260  0.260
Te  0.260  0.740  0.740
Te  0.740  0.260  0.740
Te  0.740  0.740  0.260
Os  0.500  0.500  0.500

***

[6]
A relaxed structure of LiPaHg. Source: OQMD, functional GGA-PBE.

**Total energy**: -0.11106 Ha/atom
**Distance to the lowest polymorph of the same formula**: 421 meV/atom
**Theoretical density**: 8.8 g cm⁻³
**Space group**: F-43m, No. 216

Cell lengths 6.907, 6.907, 6.907 Å; angles 90.00, 90.00, 90.00 degrees
Positions (direct):
Li  0.000  0.000  0.000
Li  0.000  0.500  0.500
Li  0.500  0.000  0.500
Li  0.500  0.500  0.000
Pa  0.250  0.250  0.750
Pa  0.250  0.750  0.250
Pa  0.750  0.250  0.250
Pa  0.750  0.750  0.750
Hg  0.000  0.000  0.500
Hg  0.000  0.500  0.000
Hg  0.500  0.000  0.000
Hg  0.500  0.500  0.500

***

[7]
A relaxed structure of LiPaHg. Source: OQMD, functional GGA-PBE.

**Total energy**: -0.12653 Ha/atom
**Distance to the lowest polymorph of the same formula**: 0 meV/atom
**Theoretical density**: 9.2 g cm⁻³
**Space group**: F-43m, No. 216

Cell lengths 6.810, 6.810, 6.810 Å; angles 90.00, 90.00, 90.00 degrees
Positions (direct):
Li  0.000  0.000  0.000
Li  0.000  0.500  0.500
Li  0.500  0.000  0.500
Li  0.500  0.500  0.000
Pa  0.000  0.000  0.500
Pa  0.000  0.500  0.000
Pa  0.500  0.000  0.000
Pa  0.500  0.500  0.500
Hg  0.250  0.250  0.250
Hg  0.250  0.750  0.750
Hg  0.750  0.250  0.750
Hg  0.750  0.750  0.250

***

[8]
A relaxed structure of Li6HgPb. Source: OQMD, functional GGA-PBE.

**Total energy**: -0.08167 Ha/atom
**Theoretical density**: 5.6 g cm⁻³
**Space group**: P4/mmm, No. 123

Cell lengths 4.566, 4.566, 6.413 Å; angles 90.00, 90.00, 90.00 degrees
Positions (direct):
Li  0.000  0.000  0.000
Li  0.000  0.500  0.248
Li  0.000  0.500  0.752
Li  0.500  0.000  0.248
Li  0.500  0.000  0.752
Li  0.500  0.500  0.500
Hg  0.500  0.500  0.000
Pb  0.000  0.000  0.500

***

[9]
A relaxed structure of Li8HgPb2. Source: OQMD, functional GGA-PBE.

**Total energy**: -0.08779 Ha/atom
**Theoretical density**: 5.7 g cm⁻³
**Space group**: C2/m, No. 12

Cell lengths 4.655, 4.655, 10.754 Å; angles 102.45, 102.45, 59.97 degrees
Positions (direct):
Li  0.088  0.088  0.264
Li  0.177  0.177  0.532
Li  0.267  0.267  0.802
Li  0.359  0.359  0.077
Li  0.641  0.641  0.923
Li  0.733  0.733  0.198
Li  0.823  0.823  0.468
Li  0.912  0.912  0.736
Hg  0.000  0.000  0.000
Pb  0.450  0.450  0.348
Pb  0.550  0.550  0.652

***

[10]
A relaxed structure of LiHg3PbSe4. Source: OQMD, functional GGA-PBE.

**Total energy**: -0.09200 Ha/atom
**Theoretical density**: 6.8 g cm⁻³
**Space group**: P-43m, No. 215

Cell lengths 6.514, 6.514, 6.514 Å; angles 90.00, 90.00, 90.00 degrees
Positions (direct):
Li  0.000  0.000  0.000
Hg  0.000  0.500  0.500
Hg  0.500  0.000  0.500
Hg  0.500  0.500  0.000
Pb  0.500  0.500  0.500
Se  0.237  0.237  0.237
Se  0.237  0.763  0.763
Se  0.763  0.237  0.763
Se  0.763  0.763  0.237

***

[11]
A relaxed structure of LiHg2Pd. Source: OQMD, functional GGA-PBE.

**Total energy**: -0.08112 Ha/atom
**Distance to the lowest polymorph of the same formula**: 32 meV/atom
**Theoretical density**: 11.7 g cm⁻³
**Space group**: P4/mmm, No. 123

Cell lengths 3.435, 3.435, 6.174 Å; angles 90.00, 90.00, 90.00 degrees
Positions (direct):
Li  0.000  0.000  0.000
Hg  0.500  0.500  0.245
Hg  0.500  0.500  0.755
Pd  0.000  0.000  0.500

***

Repeat the fifth record exactly.
A relaxed structure of LiHg3Te4Os. Source: OQMD, functional GGA-PBE.

**Total energy**: -0.09799 Ha/atom
**Theoretical density**: 7.1 g cm⁻³
**Space group**: P-43m, No. 215

Cell lengths 6.743, 6.743, 6.743 Å; angles 90.00, 90.00, 90.00 degrees
Positions (direct):
Li  0.000  0.000  0.000
Hg  0.000  0.500  0.500
Hg  0.500  0.000  0.500
Hg  0.500  0.500  0.000
Te  0.260  0.260  0.260
Te  0.260  0.740  0.740
Te  0.740  0.260  0.740
Te  0.740  0.740  0.260
Os  0.500  0.500  0.500

***

Among the records above, which one has the lowest total energy? number 4

***

What is the formula in the tenth record? LiHg3PbSe4